1.
DFT (GGA-PBE) results for BeAlCr2Br after structural relaxation.

```
BeAlCr2Br
1.0
4.644 0.000 0.000
0.000 4.280 0.000
0.000 0.000 4.644
Cr Al Be Br
2 1 1 1
Direct
0.500 0.000 0.000
0.000 0.000 0.500
0.000 0.500 0.000
0.000 0.000 0.000
0.500 0.500 0.500
```

Space-group type: No. 123
Size of the total moment in Bohr magnetons per cell: 7.98
Raw formation energy in meV per atom: 675

---

2.
DFT (GGA-PBE) results for BeAlGe2Br after structural relaxation.

```
BeAlGe2Br
1.0
-2.003 0.231 -4.082
1.759 -4.590 -1.123
-3.767 -1.870 1.743
Ge Be Br Al
2 1 1 1
Direct
0.500 0.000 0.000
0.000 0.000 0.500
0.000 0.000 0.000
0.000 0.500 0.000
0.500 0.500 0.500
```

Space-group type: No. 123
Size of the total moment in Bohr magnetons per cell: 0.00
Raw formation energy in meV per atom: 506

---

3.
DFT (GGA-PBE) results for BeAl2HgBr after structural relaxation.

```
BeAl2HgBr
1.0
-2.438 -3.222 -3.815
2.896 -3.265 0.906
-3.449 -1.983 3.879
Be Br Al Hg
1 1 2 1
Direct
0.000 0.500 0.000
0.000 0.000 0.000
0.000 0.000 0.500
0.500 0.000 0.000
0.500 0.500 0.500
```

Space-group type: No. 123
Size of the total moment in Bohr magnetons per cell: 0.00
Raw formation energy in meV per atom: 953

---

4.
DFT (GGA-PBE) results for KBeAlBr2 after structural relaxation.

```
KBeAlBr2
1.0
-4.416 -1.479 1.500
-1.079 -2.920 -6.056
1.958 -4.166 1.659
Br Al Be K
2 1 1 1
Direct
0.000 0.000 0.500
0.500 0.000 0.000
0.500 0.500 0.500
0.000 0.000 0.000
0.000 0.500 0.000
```

Space-group type: No. 123
Size of the total moment in Bohr magnetons per cell: 0.00
Raw formation energy in meV per atom: 185

---

5.
DFT (GGA-PBE) results for Na8BeAl4Si7Br2O24 after structural relaxation.

```
Na8BeAl4Si7Br2O24
1.0
-0.868 -8.455 -2.850
8.616 -1.538 1.941
-2.356 -2.591 8.406
Si Al Na O Be Br
7 4 8 24 1 2
Direct
0.241 0.005 0.254
0.995 0.241 0.746
0.500 0.500 0.500
0.000 0.000 0.000
0.759 0.995 0.254
0.005 0.759 0.746
0.500 0.500 0.000
0.508 0.750 0.250
0.492 0.250 0.250
0.250 0.508 0.750
0.750 0.492 0.750
0.317 0.810 0.956
0.291 0.825 0.542
0.683 0.190 0.956
0.190 0.317 0.044
0.810 0.683 0.044
0.175 0.291 0.458
0.709 0.175 0.542
0.825 0.709 0.458
0.871 0.641 0.714
0.952 0.858 0.897
0.359 0.871 0.286
0.048 0.142 0.897
0.855 0.961 0.397
0.357 0.557 0.597
0.158 0.675 0.802
0.325 0.158 0.198
0.454 0.645 0.098
0.145 0.039 0.397
0.443 0.357 0.403
0.039 0.855 0.603
0.643 0.443 0.597
0.641 0.129 0.286
0.129 0.359 0.714
0.842 0.325 0.802
0.858 0.048 0.103
0.645 0.546 0.902
0.355 0.454 0.902
0.961 0.145 0.603
0.557 0.643 0.403
0.142 0.952 0.103
0.546 0.355 0.098
0.675 0.842 0.198
0.000 0.000 0.500
0.000 0.500 0.244
0.500 0.000 0.756
```

Space-group type: No. 81
Size of the total moment in Bohr magnetons per cell: 0.25
Raw formation energy in meV per atom: -2602

---

6.
DFT (GGA-PBE) results for BeAlOsBr2 after structural relaxation.

```
BeAlOsBr2
1.0
-4.837 -1.266 -1.157
0.977 -4.880 1.255
-1.339 0.914 4.598
Al Br Be Os
1 2 1 1
Direct
0.000 0.000 0.500
0.500 0.000 0.000
0.000 0.500 0.000
0.500 0.500 0.500
0.000 0.000 0.000
```

Space-group type: No. 123
Size of the total moment in Bohr magnetons per cell: 0.63
Raw formation energy in meV per atom: 1062